# 1
CaY2Lu (PBE-GGA, optimized geometry); offset from the most stable computed form = 0.000 eV per formula unit; symmetry = R-3m
1.0
-2.4004 -2.4386 -1.0634
0.6741 -2.0482 -2.8617
4.6232 -9.7105 5.7958
Y Ca Lu
2 1 1
direct
0.2559 0.2559 0.2323
0.7441 0.7441 0.7677
0.5000 0.5000 0.5000
0.0000 0.0000 0.0000


# 2
CaLuZn4 (PBE-GGA, optimized geometry); symmetry = F-43m
1.0
-0.8957 0.3261 5.3753
-3.7205 -3.2319 2.3482
1.5938 -4.0593 3.2840
Zn Lu Ca
4 1 1
direct
0.6257 0.6257 0.1229
0.6257 0.1229 0.6257
0.6257 0.6257 0.6257
0.1229 0.6257 0.6257
0.0000 0.0000 0.0000
0.2500 0.2500 0.2500


# 3
CaLuZn2 (PBE-GGA, optimized geometry); symmetry = P4/mmm
1.0
3.5886 0.0000 0.0000
0.0000 3.5886 0.0000
0.0000 0.0000 7.1405
Zn Lu Ca
2 1 1
direct
0.0000 0.0000 0.7765
0.0000 0.0000 0.2235
0.5000 0.5000 0.0000
0.5000 0.5000 0.5000


# 4
CaLu2Zr (PBE-GGA, optimized geometry); offset from the most stable computed form = 0.000 eV per formula unit; symmetry = P4/mmm
1.0
3.4543 0.0000 0.0000
0.0000 3.4543 0.0000
0.0000 0.0000 10.0947
Ca Lu Zr
1 2 1
direct
0.5000 0.5000 0.5000
0.0000 0.0000 0.7860
0.0000 0.0000 0.2140
0.5000 0.5000 0.0000


# 5
CaLuZr (PBE-GGA, optimized geometry); symmetry = I4mm
1.0
3.4165 0.0000 0.0000
0.0000 3.4165 0.0000
-1.7083 -1.7083 7.6414
Ca Lu Zr
1 1 1
direct
0.0068 0.0068 0.0135
0.3149 0.3149 0.6298
0.6784 0.6784 0.3567


# 6
CaLu2Zr (PBE-GGA, optimized geometry); offset from the most stable computed form = 0.382 eV per formula unit; symmetry = R-3m
1.0
-1.9084 1.2022 -2.5792
-3.2736 -0.9651 -0.3034
-5.0415 9.2113 5.7481
Ca Lu Zr
1 2 1
direct
0.0000 0.0000 0.0000
0.0943 0.0943 0.7171
0.9057 0.9057 0.2829
0.5000 0.5000 0.5000


# 7
Ca4Mg (PBE-GGA, optimized geometry); offset from the most stable computed form = 1.396 eV per formula unit; symmetry = Pm-3m
1.0
-1.1466 1.9473 -5.6427
-5.0294 -3.4100 -0.1548
-3.2152 4.6397 2.2544
Mg Ca
1 4
direct
0.5000 0.5000 0.5000
0.0000 0.0000 0.0000
0.5000 0.0000 0.5000
0.0000 0.5000 0.5000
0.5000 0.5000 0.0000


# 8
Ca4Mg (PBE-GGA, optimized geometry); offset from the most stable computed form = 1.432 eV per formula unit; symmetry = Im-3m
1.0
5.0323 -3.5175 -2.3505
-1.9041 -2.4899 5.7790
-5.0127 -0.2376 -4.2471
Ca Mg
4 1
direct
0.5000 0.0000 0.0000
0.5000 0.5000 0.5000
0.0000 0.5000 0.0000
0.0000 0.0000 0.5000
0.0000 0.0000 0.0000


# 9
Ca2Mg3 (PBE-GGA, optimized geometry); symmetry = P4/mmm
1.0
-3.7718 -0.8394 -0.0852
0.8173 -3.7319 0.5854
-1.0669 2.8190 19.4592
Ca Mg
4 6
direct
0.5000 0.5000 0.1882
0.5000 0.5000 0.3959
0.5000 0.5000 0.6041
0.5000 0.5000 0.8118
0.0000 0.0000 0.9174
0.0000 0.0000 0.0826
0.0000 0.0000 0.2914
0.0000 0.0000 0.5000
0.0000 0.0000 0.7086
0.5000 0.5000 0.0000


# 10
CaMg4 (PBE-GGA, optimized geometry); offset from the most stable computed form = 0.012 eV per formula unit; symmetry = I4/m
1.0
7.1743 0.0000 0.0000
0.0000 7.1743 0.0000
3.5871 3.5871 2.5357
Ca Mg
1 4
direct
0.0000 0.0000 0.0000
0.8022 0.5696 0.0000
0.1978 0.4304 0.0000
0.5696 0.1978 0.0000
0.4304 0.8022 0.0000


# 11
CaMg5 (PBE-GGA, optimized geometry); symmetry = P4/mmm
1.0
3.6842 0.0000 0.0000
0.0000 3.6842 0.0000
0.0000 0.0000 11.2430
Ca Mg
1 5
direct
0.5000 0.5000 0.8333
0.0000 0.0000 0.0325
0.5000 0.5000 0.1831
0.0000 0.0000 0.3333
0.5000 0.5000 0.4836
0.0000 0.0000 0.6341


# 12
Ca6Mg7 (PBE-GGA, optimized geometry); symmetry = R-3m
1.0
-0.2714 -3.0659 5.5411
1.9244 -6.0270 0.3848
11.2274 0.5374 4.4725
Ca Mg
6 7
direct
0.8329 0.8329 0.5012
0.1671 0.1671 0.4988
0.6528 0.6528 0.0416
0.3472 0.3472 0.9584
0.5508 0.5508 0.3475
0.4492 0.4492 0.6525
0.0000 0.0000 0.0000
0.9065 0.4087 0.7782
0.4087 0.9065 0.7782
0.9065 0.9065 0.7782
0.0935 0.0935 0.2218
0.0935 0.5913 0.2218
0.5913 0.0935 0.2218


Formation enthalpy at 0 K / eV per atom: 0.070, -0.259, -0.302, 0.096, 0.151, 0.191, 0.259, 0.266, -0.060, -0.024, -0.017, -0.071
Fermi-level density of states / states/eV per atom: 1.538, 0.784, 0.576, 1.504, 1.028, 1.377, 1.716, 1.338, 0.792, 0.325, 0.496, 1.041
Total DFT energy (no corrections) / eV/atom: -4.793, -2.196, -2.570, -4.802, -4.873, -4.707, -1.661, -1.654, -1.817, -1.700, -1.679, -1.854